[1]
! NbAlFeOs (GGA-PBE, relaxed); values from VASP
&SYSTEM
  ibrav = 0, nat = 4, ntyp = 4
/
ATOMIC_SPECIES
Al 26.98 Al.upf
Fe 55.84 Fe.upf
Nb 92.91 Nb.upf
Os 190.23 Os.upf
CELL_PARAMETERS angstrom
-1.9759 -3.6569 1.3839
-4.3717 -0.2801 -0.0478
-1.9949 -2.6347 -2.8761
ATOMIC_POSITIONS crystal
Al 0.0000 0.0000 0.0000
Fe 0.7500 0.7500 0.7500
Nb 0.2500 0.2500 0.2500
Os 0.5000 0.5000 0.5000
! polymorph energy (0 for the lowest one) = 357.8 meV/atom
! mass density = 10.22 g/cm3
! SG = No. 216

---

[2]
! TaCoNiB (GGA-PBE, relaxed); values from VASP
&SYSTEM
  ibrav = 0, nat = 4, ntyp = 4
/
ATOMIC_SPECIES
B 10.81 B.upf
Co 58.93 Co.upf
Ni 58.69 Ni.upf
Ta 180.95 Ta.upf
CELL_PARAMETERS angstrom
0.0000 2.8349 2.8349
2.8349 0.0000 2.8349
2.8349 2.8349 0.0000
ATOMIC_POSITIONS crystal
B 0.0000 0.0000 0.0000
Co 0.7500 0.7500 0.7500
Ni 0.2500 0.2500 0.2500
Ta 0.5000 0.5000 0.5000
! polymorph energy (0 for the lowest one) = 78.9 meV/atom
! mass density = 11.28 g/cm3
! SG = No. 216